# 1
A plane-wave DFT calculation with PBE was carried out for crystalline CdNi2Os at its relaxed geometry. Values from VASP.

Structure (Quantum ESPRESSO input):
```
&SYSTEM
  ibrav = 0, nat = 4, ntyp = 3
/
ATOMIC_SPECIES
Cd 112.41 Cd.upf
Ni 58.69 Ni.upf
Os 190.23 Os.upf
ATOMIC_POSITIONS crystal
Cd 0.000 0.000 0.000
Ni 0.500 0.500 0.500
Ni 0.750 0.750 0.750
Os 0.250 0.250 0.250
CELL_PARAMETERS angstrom
0.000 3.052 3.052
3.052 0.000 3.052
3.052 3.052 0.000
```

Properties
Its total energy is -0.3923 Ry/atom. The space group is No. 216. The formation energy from the elements comes out at 0.589 eV per atom. The size of the total moment comes out at 0.540 μB per atom.

# 2
A plane-wave DFT calculation with PBE was carried out for crystalline CdNi2Os at its relaxed geometry. Values from VASP.

Structure (Quantum ESPRESSO input):
```
&SYSTEM
  ibrav = 0, nat = 4, ntyp = 3
/
ATOMIC_SPECIES
Cd 112.41 Cd.upf
Ni 58.69 Ni.upf
Os 190.23 Os.upf
ATOMIC_POSITIONS crystal
Cd 0.000 0.000 0.000
Ni 0.000 0.500 0.500
Ni 0.500 0.000 0.500
Os 0.500 0.500 0.000
CELL_PARAMETERS angstrom
4.519 0.000 0.000
0.000 4.519 0.000
0.000 0.000 2.694
```

Properties
Its total energy is -0.4139 Ry/atom. The space group is No. 123. The formation energy from the elements comes out at 0.296 eV per atom. The size of the total moment comes out at 0.002 μB per atom.

# 3
A plane-wave DFT calculation with PBE was carried out for crystalline CdNi2Os at its relaxed geometry. Values from VASP.

Structure (Quantum ESPRESSO input):
```
&SYSTEM
  ibrav = 0, nat = 4, ntyp = 3
/
ATOMIC_SPECIES
Cd 112.41 Cd.upf
Ni 58.69 Ni.upf
Os 190.23 Os.upf
ATOMIC_POSITIONS crystal
Cd 0.000 0.000 0.000
Ni 0.000 0.000 0.476
Ni 0.500 0.500 0.270
Os 0.500 0.500 0.689
CELL_PARAMETERS angstrom
2.777 0.000 0.000
0.000 2.777 0.000
0.000 0.000 7.242
```

Properties
Its total energy is -0.4141 Ry/atom. The space group is No. 99. The formation energy from the elements comes out at 0.293 eV per atom. The size of the total moment comes out at 0.000 μB per atom.

What is the formula in the third record? CdNi2Os

size of the total moment of number 3 (CdNi2Os)? 0.000 μB per atom

Copy entry 3 word for word.
A plane-wave DFT calculation with PBE was carried out for crystalline CdNi2Os at its relaxed geometry. Values from VASP.

Structure (Quantum ESPRESSO input):
```
&SYSTEM
  ibrav = 0, nat = 4, ntyp = 3
/
ATOMIC_SPECIES
Cd 112.41 Cd.upf
Ni 58.69 Ni.upf
Os 190.23 Os.upf
ATOMIC_POSITIONS crystal
Cd 0.000 0.000 0.000
Ni 0.000 0.000 0.476
Ni 0.500 0.500 0.270
Os 0.500 0.500 0.689
CELL_PARAMETERS angstrom
2.777 0.000 0.000
0.000 2.777 0.000
0.000 0.000 7.242
```

Properties
Its total energy is -0.4141 Ry/atom. The space group is No. 99. The formation energy from the elements comes out at 0.293 eV per atom. The size of the total moment comes out at 0.000 μB per atom.

Repeat the first record exactly.
A plane-wave DFT calculation with PBE was carried out for crystalline CdNi2Os at its relaxed geometry. Values from VASP.

Structure (Quantum ESPRESSO input):
```
&SYSTEM
  ibrav = 0, nat = 4, ntyp = 3
/
ATOMIC_SPECIES
Cd 112.41 Cd.upf
Ni 58.69 Ni.upf
Os 190.23 Os.upf
ATOMIC_POSITIONS crystal
Cd 0.000 0.000 0.000
Ni 0.500 0.500 0.500
Ni 0.750 0.750 0.750
Os 0.250 0.250 0.250
CELL_PARAMETERS angstrom
0.000 3.052 3.052
3.052 0.000 3.052
3.052 3.052 0.000
```

Properties
Its total energy is -0.3923 Ry/atom. The space group is No. 216. The formation energy from the elements comes out at 0.589 eV per atom. The size of the total moment comes out at 0.540 μB per atom.